# 1
Below is SrTiGe2Bi after structural relaxation, with properties calculated at the PBE-GGA level.

a b c (Å): 5.0316 5.4138 5.0316
angles (deg): 90.00 90.00 90.00
Last column: nearest neighbours and their distance in Å.
Fractional coordinates of all 5 atoms:
Sr  0.5000  0.5000  0.5000  4 Bi 3.56, 8 Ge 3.70
Ge  0.0000  0.0000  0.5000  2 Ti 2.52
Ge  0.5000  0.0000  0.0000  2 Ti 2.52
Bi  0.0000  0.5000  0.0000  2 Ti 2.71
Ti  0.0000  0.0000  0.0000  4 Ge 2.52, 2 Bi 2.71

Results
DOS(E_F) (states/eV/f.u.): 2.93
Electronic total energy (eV/atom): -4.79
Formation enthalpy at 0 K (eV/atom): -0.252
Volume (Å³/cell): 137

# 2
Below is Ta2GeBi after structural relaxation, with properties calculated at the PBE-GGA level.

a b c (Å): 4.7759 4.7759 4.7759
angles (deg): 60.00 60.00 60.00
Last column: nearest neighbours and their distance in Å.
Fractional coordinates of all 4 atoms:
Ge  0.0000  0.0000  0.0000  8 Ta 2.92
Bi  0.5000  0.5000  0.5000  8 Ta 2.92
Ta  0.2500  0.2500  0.2500  4 Bi 2.92, 4 Ge 2.92
Ta  0.7500  0.7500  0.7500  4 Bi 2.92, 4 Ge 2.92

Results
DOS(E_F) (states/eV/f.u.): 2.70
Offset from the most stable computed form (eV/f.u.): 0.00
Electronic total energy (eV/atom): -7.65
Formation enthalpy at 0 K (eV/atom): 0.402
Volume (Å³/cell): 77

# 3
Below is Ta3GeBi after structural relaxation, with properties calculated at the PBE-GGA level.

a b c (Å): 4.8222 4.8222 4.8222
angles (deg): 90.00 90.00 90.00
Last column: nearest neighbours and their distance in Å.
Fractional coordinates of all 5 atoms:
Ge  0.0000  0.0000  0.0000  6 Ta 2.41
Bi  0.5000  0.5000  0.5000  12 Ta 3.41
Ta  0.0000  0.5000  0.0000  2 Ge 2.41
Ta  0.0000  0.0000  0.5000  2 Ge 2.41
Ta  0.5000  0.0000  0.0000  2 Ge 2.41

Results
DOS(E_F) (states/eV/f.u.): 13.07
Offset from the most stable computed form (eV/f.u.): 0.00
Electronic total energy (eV/atom): -7.72
Formation enthalpy at 0 K (eV/atom): 1.090
Volume (Å³/cell): 112

# 4
Below is TaGeBi2 after structural relaxation, with properties calculated at the PBE-GGA level.

a b c (Å): 6.5315 6.5315 8.1210
angles (deg): 66.29 66.29 90.00
Last column: nearest neighbours and their distance in Å.
Fractional coordinates of all 8 atoms:
Ge  0.5000  0.5000  0.0000  4 Bi 2.90
Ge  0.2500  0.7500  0.5000  4 Bi 2.90
Bi  0.6391  0.1250  0.2500  2 Ta 2.80, 2 Ge 2.90
Bi  0.1109  0.6250  0.2500  2 Ta 2.80, 2 Ge 2.90
Bi  0.3750  0.3609  0.7500  2 Ta 2.80, 2 Ge 2.90
Bi  0.8750  0.8891  0.7500  2 Ta 2.80, 2 Ge 2.90
Ta  0.0000  0.0000  0.0000  4 Bi 2.80
Ta  0.7500  0.2500  0.5000  4 Bi 2.80

Results
DOS(E_F) (states/eV/f.u.): 3.72
Electronic total energy (eV/atom): -5.18
Formation enthalpy at 0 K (eV/atom): 0.874
Volume (Å³/cell): 285